A plane-wave DFT calculation with PBE was carried out for a geometry-optimized Sc6Si2O structure.

Unit cell a=5.8307 b=5.8307 c=11.3279 alpha=90.00 beta=90.00 gamma=90.00
With the nearest neighbours (Å) after each atom.
Fractional positions:
Sc 0.1920 0.1920 0.1404  1 O 2.24
Sc 0.1920 0.1920 0.8596  1 O 2.24
Sc 0.2103 0.2103 0.5000  1 O 2.39, 2 Si 2.64
Sc 0.2897 0.7103 0.0000  1 O 2.39, 2 Si 2.64
Sc 0.3080 0.6920 0.3596  1 O 2.24
Sc 0.3080 0.6920 0.6404  1 O 2.24
Sc 0.6920 0.3080 0.3596  1 O 2.24
Sc 0.6920 0.3080 0.6404  1 O 2.24
Sc 0.7103 0.2897 0.0000  1 O 2.39, 2 Si 2.64
Sc 0.7897 0.7897 0.5000  1 O 2.39, 2 Si 2.64
Sc 0.8080 0.8080 0.1404  1 O 2.24
Sc 0.8080 0.8080 0.8596  1 O 2.24
Si 0.0000 0.0000 0.3244  6 Sc 2.57-2.64
Si 0.0000 0.0000 0.6756  6 Sc 2.57-2.64
Si 0.5000 0.5000 0.1756  6 Sc 2.57-2.64
Si 0.5000 0.5000 0.8244  6 Sc 2.57-2.64
O 0.0000 0.0000 0.0000  6 Sc 2.24-2.39
O 0.5000 0.5000 0.5000  6 Sc 2.24-2.39

## Properties
Raw total energy (eV per atom): -6.779
Density of states at the Fermi level (states/eV per cell): 21.43
ΔE_f (raw) (eV per atom): -0.802

***

A plane-wave DFT calculation with PBE was carried out for a geometry-optimized Sc2Si2O structure.

Unit cell a=5.0245 b=5.0245 c=5.0245 alpha=114.75 beta=114.75 gamma=99.37
With the nearest neighbours (Å) after each atom.
Fractional positions:
Sc 0.2500 0.7500 0.5000  4 Si 2.72
Sc 0.7500 0.2500 0.5000  4 Si 2.72
Si 0.2221 0.2221 0.0000  1 O 1.81
Si 0.7779 0.7779 0.0000  1 O 1.81
O 0.5000 0.5000 0.0000  2 Si 1.81

## Properties
Energy above the most stable polymorph in this dataset (meV/atom): 179
Raw total energy (eV per atom): -6.026
Density of states at the Fermi level (states/eV per cell): 4.52
ΔE_f (raw) (eV per atom): -0.333

***

A plane-wave DFT calculation with PBE was carried out for a geometry-optimized Sc6Si3O structure.

Unit cell a=8.2563 b=8.2563 c=6.2917 alpha=90.00 beta=90.00 gamma=102.54
With the nearest neighbours (Å) after each atom.
Fractional positions:
Sc 0.0509 0.9491 0.5000  1 O 2.10
Sc 0.1110 0.5776 0.5354  1 O 2.10
Sc 0.2276 0.7724 0.0475  1 O 2.05
Sc 0.3103 0.3619 0.0508  4 Si 2.64-2.81
Sc 0.3619 0.3103 0.5508  4 Si 2.64-2.81
Sc 0.4224 0.8890 0.5354  1 O 2.10
Sc 0.5776 0.1110 0.0354  1 O 2.10
Sc 0.6381 0.6897 0.0508  4 Si 2.64-2.81
Sc 0.6897 0.6381 0.5508  4 Si 2.64-2.81
Sc 0.7724 0.2276 0.5475  1 O 2.05
Sc 0.8890 0.4224 0.0354  1 O 2.10
Sc 0.9491 0.0509 0.0000  1 O 2.10
Si 0.0639 0.2804 0.3246  7 Sc 2.64-2.93
Si 0.2804 0.0639 0.8246  7 Sc 2.64-2.93
Si 0.3900 0.6100 0.7667  7 Sc 2.69-2.79
Si 0.6100 0.3900 0.2667  7 Sc 2.69-2.79
Si 0.7196 0.9361 0.3246  7 Sc 2.64-2.93
Si 0.9361 0.7196 0.8246  7 Sc 2.64-2.93
O 0.2010 0.7990 0.3695  4 Sc 2.05-2.10
O 0.7990 0.2010 0.8695  4 Sc 2.05-2.10

## Properties
Raw total energy (eV per atom): -6.922
Density of states at the Fermi level (states/eV per cell): 19.39
ΔE_f (raw) (eV per atom): -1.000

***

A plane-wave DFT calculation with PBE was carried out for a geometry-optimized Sc2SiO structure.

Unit cell a=4.4966 b=4.4966 c=4.4966 alpha=60.00 beta=60.00 gamma=60.00
With the nearest neighbours (Å) after each atom.
Fractional positions:
Sc 0.2500 0.2500 0.2500  4 O 2.75, 4 Si 2.75
Sc 0.7500 0.7500 0.7500  4 O 2.75, 4 Si 2.75
Si 0.0000 0.0000 0.0000  8 Sc 2.75
O 0.5000 0.5000 0.5000  8 Sc 2.75

## Properties
Energy above the most stable polymorph in this dataset (meV/atom): 565
Raw total energy (eV per atom): -6.651
Density of states at the Fermi level (states/eV per cell): 0.20
ΔE_f (raw) (eV per atom): -0.890

***

A plane-wave DFT calculation with PBE was carried out for a geometry-optimized Sc4Si2O structure.

Unit cell a=6.7762 b=10.4901 c=3.6246 alpha=90.00 beta=90.00 gamma=90.00
With the nearest neighbours (Å) after each atom.
Fractional positions:
Sc 0.1149 0.1914 0.0000  1 O 2.15
Sc 0.2207 0.9410 0.5000  2 O 2.43
Sc 0.2793 0.4410 0.5000  2 O 2.43
Sc 0.3851 0.6914 0.0000  1 O 2.15
Sc 0.6149 0.3086 0.0000  1 O 2.15
Sc 0.7207 0.5590 0.5000  2 O 2.43
Sc 0.7793 0.0590 0.5000  2 O 2.43
Sc 0.8851 0.8086 0.0000  1 O 2.15
Si 0.0926 0.6775 0.5000  7 Sc 2.67-2.90
Si 0.4074 0.1775 0.5000  7 Sc 2.67-2.90
Si 0.5926 0.8225 0.5000  7 Sc 2.67-2.90
Si 0.9074 0.3225 0.5000  7 Sc 2.67-2.90
O 0.0000 0.0000 0.0000  2 Sc 2.15
O 0.5000 0.5000 0.0000  2 Sc 2.15

## Properties
Energy above the most stable polymorph in this dataset (meV/atom): 141
Raw total energy (eV per atom): -7.045
Density of states at the Fermi level (states/eV per cell): 10.84
ΔE_f (raw) (eV per atom): -1.169

***

A plane-wave DFT calculation with PBE was carried out for a geometry-optimized Sc3SiO6 structure.

Unit cell a=6.7189 b=6.7189 c=5.1115 alpha=90.00 beta=90.00 gamma=102.41
With the nearest neighbours (Å) after each atom.
Fractional positions:
Sc 0.0934 0.9066 0.5000  4 O 2.08-2.15
Sc 0.2126 0.4075 0.4429  4 O 2.06-2.30
Sc 0.4075 0.2126 0.9429  4 O 2.06-2.30
Sc 0.5925 0.7874 0.4429  4 O 2.06-2.30
Sc 0.7874 0.5925 0.9429  4 O 2.06-2.30
Sc 0.9066 0.0934 0.0000  4 O 2.08-2.15
Si 0.3015 0.6985 0.9072  4 O 1.64-1.67
Si 0.6985 0.3015 0.4072  4 O 1.64-1.67
O 0.0843 0.6128 0.7504  1 Si 1.66
O 0.1336 0.1844 0.7225  4 Sc 2.06-2.15
O 0.1844 0.1336 0.2225  4 Sc 2.06-2.15
O 0.2862 0.7138 0.2263  1 Si 1.64
O 0.3872 0.9157 0.7504  1 Si 1.66
O 0.4525 0.5475 0.8018  1 Si 1.67
O 0.5475 0.4525 0.3018  1 Si 1.67
O 0.6128 0.0843 0.2504  1 Si 1.66
O 0.7138 0.2862 0.7263  1 Si 1.64
O 0.8156 0.8664 0.7225  4 Sc 2.06-2.15
O 0.8664 0.8156 0.2225  4 Sc 2.06-2.15
O 0.9157 0.3872 0.2504  1 Si 1.66

## Properties
Raw total energy (eV per atom): -8.557
Density of states at the Fermi level (states/eV per cell): 5.61
ΔE_f (raw) (eV per atom): -3.140

***

A plane-wave DFT calculation with PBE was carried out for a geometry-optimized ScSi2O structure.

Unit cell a=5.5398 b=5.5398 c=5.5398 alpha=114.72 beta=114.72 gamma=99.42
With the nearest neighbours (Å) after each atom.
Fractional positions:
Sc 0.0000 0.0000 0.0000  4 Si 2.76
Sc 0.7500 0.2500 0.5000  4 Si 2.76
Si 0.2339 0.6250 0.1089  2 O 1.94
Si 0.3750 0.4839 0.6089  2 O 1.94
Si 0.5161 0.1250 0.8911  2 O 1.94
Si 0.8750 0.7661 0.3911  2 O 1.94
O 0.2500 0.7500 0.5000  4 Si 1.94
O 0.5000 0.5000 0.0000  4 Si 1.94

## Properties
Raw total energy (eV per atom): -5.945
Density of states at the Fermi level (states/eV per cell): 5.03
ΔE_f (raw) (eV per atom): -0.412

***

A plane-wave DFT calculation with PBE was carried out for a geometry-optimized ScSiO3 structure.

Unit cell a=4.0165 b=4.0165 c=4.0165 alpha=90.00 beta=90.00 gamma=90.00
With the nearest neighbours (Å) after each atom.
Fractional positions:
Sc 0.0000 0.0000 0.0000  6 O 2.01
Si 0.5000 0.5000 0.5000  12 O 2.84
O 0.0000 0.0000 0.5000  2 Sc 2.01
O 0.0000 0.5000 0.0000  2 Sc 2.01
O 0.5000 0.0000 0.0000  2 Sc 2.01

## Properties
Raw total energy (eV per atom): -6.646
Density of states at the Fermi level (states/eV per cell): 3.74
ΔE_f (raw) (eV per atom): -1.321